(1)
First-principles (PBE) data for a geometry-optimized Sn6IrRh structure, as listed in the Alexandria database.

Cell: 7.1968 7.1968 4.8348 Å, 105.73 105.73 116.25°
Positions (direct):
Sn  0.0668  0.4295  0.2484
Sn  0.2502  0.2502  0.7521
Sn  0.4295  0.0668  0.2484
Sn  0.5705  0.9332  0.7516
Sn  0.7498  0.7498  0.2479
Sn  0.9332  0.5705  0.7516
Ir  0.5000  0.5000  0.5000
Rh  0.0000  0.0000  0.0000

Computed properties:
The magnetic moment is 0.00 μB/f.u. Its crystal system is monoclinic. As for the formation energy: -96 meV/atom. As for the calculated total energy: -5.124 eV per atom.

(2)
First-principles (PBE) data for a geometry-optimized SnIr3Rh structure, as listed in the Alexandria database.

Cell: 4.7429 4.7429 4.7429 Å, 90.00 90.00 90.00°
Positions (direct):
Sn  0.0000  0.0000  0.0000
Ir  0.0000  0.5000  0.5000
Ir  0.5000  0.0000  0.5000
Ir  0.5000  0.5000  0.0000
Rh  0.5000  0.5000  0.5000

Computed properties:
The magnetic moment is 0.00 μB/f.u. Its crystal system is cubic. Its excess energy over the best structure of this formula in the dataset is 0.000 eV per atom. As for the formation energy: 1616 meV/atom. As for the calculated total energy: -5.971 eV per atom.

(3)
First-principles (PBE) data for a geometry-optimized Sn2IrRh2 structure, as listed in the Alexandria database.

Cell: 6.4834 6.4834 6.4834 Å, 143.70 143.70 52.27°
Positions (direct):
Sn  0.2500  0.7500  0.5000
Sn  0.7500  0.2500  0.5000
Ir  0.0000  0.0000  0.0000
Rh  0.3956  0.3956  0.0000
Rh  0.6044  0.6044  0.0000

Computed properties:
The magnetic moment is 0.00 μB/f.u. Its crystal system is tetragonal. Its excess energy over the best structure of this formula in the dataset is 0.514 eV per atom. As for the formation energy: 463 meV/atom. As for the calculated total energy: -5.851 eV per atom.

(4)
First-principles (PBE) data for a geometry-optimized Sn6Ir3Rh structure, as listed in the Alexandria database.

Cell: 11.7466 3.1174 12.6189 Å, 90.00 113.27 90.00°
Positions (direct):
Sn  0.0415  0.2500  0.4017
Sn  0.1542  0.7500  0.9676
Sn  0.2151  0.7500  0.2290
Sn  0.2407  0.2500  0.7668
Sn  0.3824  0.2500  0.5378
Sn  0.4475  0.2500  0.1418
Sn  0.5525  0.7500  0.8582
Sn  0.6176  0.7500  0.4622
Sn  0.7593  0.7500  0.2332
Sn  0.7849  0.2500  0.7710
Sn  0.8458  0.2500  0.0324
Sn  0.9585  0.7500  0.5983
Ir  0.0156  0.2500  0.7860
Ir  0.3802  0.7500  0.9495
Ir  0.4135  0.2500  0.3350
Ir  0.5865  0.7500  0.6650
Ir  0.6198  0.2500  0.0505
Ir  0.9844  0.7500  0.2140
Rh  0.1994  0.7500  0.5758
Rh  0.8006  0.2500  0.4242

Computed properties:
The magnetic moment is 0.00 μB/f.u. Its crystal system is monoclinic. Its excess energy over the best structure of this formula in the dataset is 0.046 eV per atom. As for the formation energy: -170 meV/atom. As for the calculated total energy: -5.965 eV per atom.

(5)
First-principles (PBE) data for a geometry-optimized SnIrRh3 structure, as listed in the Alexandria database.

Cell: 4.7517 4.7517 4.7517 Å, 90.00 90.00 90.00°
Positions (direct):
Sn  0.0000  0.0000  0.0000
Ir  0.5000  0.5000  0.5000
Rh  0.0000  0.5000  0.5000
Rh  0.5000  0.0000  0.5000
Rh  0.5000  0.5000  0.0000

Computed properties:
The magnetic moment is 0.00 μB/f.u. Its crystal system is cubic. Its excess energy over the best structure of this formula in the dataset is 0.000 eV per atom. As for the formation energy: 1056 meV/atom. As for the calculated total energy: -5.928 eV per atom.

(6)
First-principles (PBE) data for a geometry-optimized Sn2IrRh2 structure, as listed in the Alexandria database.

Cell: 7.4786 7.4786 3.0727 Å, 90.00 90.00 90.00°
Positions (direct):
Sn  0.1687  0.3313  0.0000
Sn  0.3313  0.8313  0.0000
Sn  0.6687  0.1687  0.0000
Sn  0.8313  0.6687  0.0000
Ir  0.0000  0.0000  0.5000
Ir  0.5000  0.5000  0.5000
Rh  0.1324  0.6324  0.5000
Rh  0.3676  0.1324  0.5000
Rh  0.6324  0.8676  0.5000
Rh  0.8676  0.3676  0.5000

Computed properties:
The magnetic moment is 0.00 μB/f.u. Its crystal system is tetragonal. Its excess energy over the best structure of this formula in the dataset is 0.000 eV per atom. As for the formation energy: -51 meV/atom. As for the calculated total energy: -6.365 eV per atom.

(7)
First-principles (PBE) data for a geometry-optimized Sn2IrRh structure, as listed in the Alexandria database.

Cell: 3.1480 3.1480 7.1048 Å, 90.00 90.00 90.00°
Positions (direct):
Sn  0.0000  0.0000  0.2472
Sn  0.0000  0.0000  0.7528
Ir  0.5000  0.5000  0.5000
Rh  0.5000  0.5000  0.0000

Computed properties:
The magnetic moment is 0.00 μB/f.u. Its crystal system is tetragonal. As for the formation energy: -125 meV/atom. As for the calculated total energy: -6.180 eV per atom.

(8)
First-principles (PBE) data for a geometry-optimized Sn2IrRh structure, as listed in the Alexandria database.

Cell: 4.4989 4.4989 3.4864 Å, 90.00 90.00 90.00°
Positions (direct):
Sn  0.0000  0.5000  0.0000
Sn  0.5000  0.0000  0.0000
Ir  0.0000  0.0000  0.5000
Rh  0.5000  0.5000  0.5000

Computed properties:
The magnetic moment is 0.00 μB/f.u. Its crystal system is tetragonal. As for the formation energy: -134 meV/atom. As for the calculated total energy: -6.188 eV per atom.

(9)
First-principles (PBE) data for a geometry-optimized Sn2IrRh structure, as listed in the Alexandria database.

Cell: 7.2732 7.2732 7.2732 Å, 131.56 131.56 70.93°
Positions (direct):
Sn  0.1244  0.6250  0.9994
Sn  0.3750  0.3744  0.4994
Sn  0.6256  0.1250  0.0006
Sn  0.8750  0.8756  0.5006
Ir  0.0000  0.0000  0.0000
Ir  0.7500  0.2500  0.5000
Rh  0.2500  0.7500  0.5000
Rh  0.5000  0.5000  0.0000

Computed properties:
The magnetic moment is 0.00 μB/f.u. Its crystal system is tetragonal. As for the formation energy: 295 meV/atom. As for the calculated total energy: -5.759 eV per atom.

(10)
First-principles (PBE) data for a geometry-optimized Sr2Sn3IrRh4 structure, as listed in the Alexandria database.

Cell: 4.4802 4.4802 10.8409 Å, 90.00 90.00 90.00°
Positions (direct):
Sr  0.0000  0.5000  0.2461
Sr  0.5000  0.0000  0.7539
Sn  0.0000  0.0000  0.0000
Sn  0.0000  0.5000  0.6298
Sn  0.5000  0.0000  0.3702
Ir  0.5000  0.5000  0.0000
Rh  0.0000  0.0000  0.5000
Rh  0.0000  0.5000  0.8751
Rh  0.5000  0.0000  0.1249
Rh  0.5000  0.5000  0.5000

Computed properties:
The magnetic moment is 0.00 μB/f.u. Its crystal system is tetragonal. As for the formation energy: -484 meV/atom. As for the calculated total energy: -5.848 eV per atom.

(11)
First-principles (PBE) data for a geometry-optimized Sr2Sn4IrRh3 structure, as listed in the Alexandria database.

Cell: 4.5732 4.5732 10.8436 Å, 90.00 90.00 90.00°
Positions (direct):
Sr  0.0000  0.5000  0.2428
Sr  0.5000  0.0000  0.7572
Sn  0.0000  0.0000  0.5000
Sn  0.0000  0.5000  0.8735
Sn  0.5000  0.0000  0.1265
Sn  0.5000  0.5000  0.5000
Ir  0.5000  0.5000  0.0000
Rh  0.0000  0.0000  0.0000
Rh  0.0000  0.5000  0.6290
Rh  0.5000  0.0000  0.3710

Computed properties:
The magnetic moment is 0.00 μB/f.u. Its crystal system is tetragonal. As for the formation energy: -593 meV/atom. As for the calculated total energy: -5.622 eV per atom.

(12)
First-principles (PBE) data for a geometry-optimized ThSnIrRh structure, as listed in the Alexandria database.

Cell: 4.8710 4.8710 4.8710 Å, 60.00 60.00 60.00°
Positions (direct):
Th  0.0000  0.0000  0.0000
Sn  0.5000  0.5000  0.5000
Ir  0.2500  0.2500  0.2500
Rh  0.7500  0.7500  0.7500

Computed properties:
The magnetic moment is 0.00 μB/f.u. Its crystal system is cubic. As for the formation energy: -593 meV/atom. As for the calculated total energy: -7.502 eV per atom.